Here is crystalline Sc3VAg3O8 at its relaxed geometry from the Alexandria database. Energies are from PBE with a Hubbard U.

* DFT total energy: -7.16 eV per atom
* density: 4.829 g/cm³
* V: 219 Å³/cell

a = 6.320 Å, b = 6.387 Å, c = 7.248 Å
α = 116.14°, β = 65.16°, γ = 120.35°
Fractional coordinates of all 15 atoms:
O  0.893  0.620  0.334
O  0.107  0.380  0.666
Ag  0.000  0.500  0.000
V  0.000  0.000  0.500
O  0.654  0.901  0.648
O  0.346  0.099  0.352
O  0.107  0.893  0.666
Sc  0.000  0.500  0.500
Ag  0.500  0.500  0.000
O  0.616  0.390  0.664
O  0.384  0.610  0.336
Ag  0.000  0.000  0.000
O  0.893  0.107  0.334
Sc  0.500  0.000  0.500
Sc  0.500  0.500  0.500